Li2YCrBi: optimized geometry, GGA-PBE.

Cell: 5.094 5.094 5.984 Å, 90.00 90.00 90.00°
Atoms (fractional coordinates):
Li  0.000  0.500  0.000
Li  0.500  0.000  0.000
Y  0.000  0.000  0.500
Cr  0.500  0.500  0.500
Bi  0.000  0.000  0.000

Properties
The calculation puts the calculated total energy at -21.90 eV for the cell shown. The space group is P4/mmm, No. 123. For the formation energy, the calculation gives 0.379 eV/atom.